Compound: NdEr2Tm6
Source: Alexandria
Functional: GGA-PBE
Structure: relaxed

Unit cell a=6.2782 b=6.2782 c=14.2112 alpha=71.72 beta=71.72 gamma=32.59
With the nearest neighbours (Å) after each atom.
Positions (direct):
Tm  0.1917  0.1917  0.6024  3 Tm 3.10-3.30
Er  0.1567  0.1567  0.2488  6 Tm 3.42-3.74, 2 Er 3.52
Tm  0.3657  0.3657  0.9876  9 Tm 3.22-3.52
Er  0.8433  0.8433  0.7512  6 Tm 3.42-3.74, 2 Er 3.52
Tm  0.9195  0.9195  0.1673  5 Tm 3.10-3.34, 3 Er 3.42-3.48
Nd  0.5000  0.5000  0.5000  6 Tm 3.52-3.57, 2 Nd 3.52, 4 Er 3.87
Tm  0.6343  0.6343  0.0124  9 Tm 3.22-3.52
Tm  0.0805  0.0805  0.8327  5 Tm 3.10-3.34, 3 Er 3.42-3.48
Tm  0.8083  0.8083  0.3976  3 Tm 3.10-3.30

formation energy from the elements: 1.359 eV/f.u.

=====

Compound: CaCr2Au
Source: Alexandria
Functional: GGA-PBE
Structure: relaxed

Unit cell a=4.8590 b=3.9964 c=4.4334 alpha=89.97 beta=90.00 gamma=90.00
With the nearest neighbours (Å) after each atom.
Positions (direct):
Ca  0.5000  0.7500  0.7500  4 Au 2.98-2.99, 8 Cr 3.27
Au  0.5000  0.2500  0.2500  4 Cr 2.77, 4 Ca 2.98-2.99
Cr  0.0000  0.2498  0.9506  1 Cr 1.78
Cr  0.0000  0.2502  0.5494  1 Cr 1.78

formation energy from the elements: 2.080 eV/f.u.

=====

Compound: MoRu3Pt
Source: Alexandria
Functional: GGA-PBE
Structure: relaxed

Unit cell a=5.1906 b=5.1906 c=5.2852 alpha=60.59 beta=60.59 gamma=60.00
With the nearest neighbours (Å) after each atom.
Positions (direct):
Pt  0.9750  0.9750  0.0750  6 Ru 2.64
Ru  0.9750  0.4750  0.5750  4 Ru 2.60, 2 Mo 2.60, 2 Pt 2.64
Ru  0.4750  0.9750  0.5750  4 Ru 2.60, 2 Mo 2.60, 2 Pt 2.64
Ru  0.9750  0.9750  0.5750  4 Ru 2.60, 2 Mo 2.60, 2 Pt 2.64
Mo  0.4750  0.4750  0.5750  6 Ru 2.60

formation energy from the elements: 6.152 eV/f.u.

=====

Compound: MnMoCl2
Source: Alexandria
Functional: GGA-PBE
Structure: relaxed

Unit cell a=5.2530 b=5.2530 c=6.2852 alpha=65.30 beta=65.30 gamma=90.00
With the nearest neighbours (Å) after each atom.
Positions (direct):
Cl  0.5968  0.1250  0.2500  2 Mn 2.17, 2 Mo 2.34
Mo  0.7500  0.2500  0.5000  4 Cl 2.34
Mo  0.0000  0.0000  0.0000  4 Cl 2.34
Cl  0.3750  0.4032  0.7500  2 Mn 2.17, 2 Mo 2.34
Cl  0.1532  0.6250  0.2500  2 Mn 2.17, 2 Mo 2.34
Mn  0.2500  0.7500  0.5000  4 Cl 2.17
Mn  0.5000  0.5000  0.0000  4 Cl 2.17
Cl  0.8750  0.8468  0.7500  2 Mn 2.17, 2 Mo 2.34

ΔE_f (raw): 2.883 eV/f.u.

=====

Compound: PmNdAg4
Source: Alexandria
Functional: GGA-PBE
Structure: relaxed

Unit cell a=5.7845 b=5.7845 c=5.7845 alpha=60.00 beta=60.00 gamma=60.00
With the nearest neighbours (Å) after each atom.
Positions (direct):
Ag  0.6251  0.6251  0.1248  6 Ag 2.89
Ag  0.1248  0.6251  0.6251  6 Ag 2.89
Nd  0.2500  0.2500  0.2500  12 Ag 3.39, 4 Pm 3.54
Pm  0.0000  0.0000  0.0000  12 Ag 3.39, 4 Nd 3.54
Ag  0.6251  0.1248  0.6251  6 Ag 2.89
Ag  0.6251  0.6251  0.6251  6 Ag 2.89

formation energy from the elements: -0.927 eV/f.u.

=====

Compound: BaBeTeN2
Source: Alexandria
Functional: GGA-PBE
Structure: relaxed

Unit cell a=4.5437 b=4.5437 c=4.8585 alpha=90.00 beta=90.00 gamma=90.00
With the nearest neighbours (Å) after each atom.
Positions (direct):
Ba  0.5000  0.5000  0.5000  4 Te 3.21, 8 N 3.33
Te  0.0000  0.0000  0.5000  2 Be 2.43
N  0.5000  0.0000  0.0000  2 Be 2.27
Be  0.0000  0.0000  0.0000  4 N 2.27, 2 Te 2.43
N  0.0000  0.5000  0.0000  2 Be 2.27

ΔE_f (raw): 4.379 eV/f.u.

=====

Compound: ErTm2Te
Source: Alexandria
Functional: GGA-PBE
Structure: relaxed

Unit cell a=3.8218 b=3.8218 c=9.9101 alpha=78.88 beta=78.88 gamma=60.00
With the nearest neighbours (Å) after each atom.
Positions (direct):
Tm  0.0733  0.0733  0.7802  3 Te 3.06
Er  0.4998  0.4998  0.5007  6 Tm 3.49-3.50, 6 Er 3.82
Te  0.6666  0.6666  0.0002  6 Tm 3.05-3.06
Tm  0.2604  0.2604  0.2189  3 Te 3.05

ΔE_f (raw): -2.000 eV/f.u.

=====

Compound: NaAc2ScSe4
Source: Alexandria
Functional: GGA-PBE
Structure: relaxed

Unit cell a=4.2871 b=7.2433 c=7.4905 alpha=70.32 beta=90.00 gamma=90.00
With the nearest neighbours (Å) after each atom.
Positions (direct):
Na  0.5000  0.5000  0.0000  6 Se 2.94-2.96
Ac  0.5000  0.0000  0.5000  6 Se 3.09-3.10
Sc  0.0000  0.5000  0.5000  6 Se 2.85-2.87
Se  0.5000  0.2832  0.7314  2 Sc 2.87, 1 Na 2.94, 3 Ac 3.10-3.17
Se  0.0000  0.2758  0.2523  1 Sc 2.85, 2 Na 2.96, 3 Ac 3.09-3.18
Ac  0.0000  0.0000  0.0000  6 Se 3.17-3.18
Se  0.0000  0.7242  0.7477  1 Sc 2.85, 2 Na 2.96, 3 Ac 3.09-3.18
Se  0.5000  0.7168  0.2686  2 Sc 2.87, 1 Na 2.94, 3 Ac 3.10-3.17

ΔE_f (raw): -13.387 eV/f.u.

=====

Compound: Cr2AgP
Source: Alexandria
Functional: GGA-PBE
Structure: relaxed

Unit cell a=4.2642 b=4.2642 c=5.1836 alpha=84.20 beta=84.20 gamma=40.38
With the nearest neighbours (Å) after each atom.
Positions (direct):
P  0.4769  0.4769  0.5785  5 Cr 2.38-2.48, 1 Ag 2.55
Cr  0.0146  0.0146  0.9306  2 P 2.39, 3 Cr 2.44-2.47
Ag  0.2670  0.2670  0.2413  1 P 2.55, 3 Cr 2.72-2.83
Cr  0.7414  0.7414  0.7496  3 P 2.38-2.48, 3 Cr 2.44-2.47

formation energy from the elements: 0.997 eV/f.u.

=====

Compound: BaSr2Li
Source: Alexandria
Functional: GGA-PBE
Structure: relaxed

Unit cell a=13.1425 b=13.1425 c=13.1425 alpha=18.57 beta=18.57 gamma=18.57
With the nearest neighbours (Å) after each atom.
Positions (direct):
Ba  0.4907  0.4907  0.4907  3 Li 3.81, 6 Ba 4.24
Sr  0.0091  0.0091  0.0091  3 Li 3.74
Li  0.7487  0.7487  0.7487  3 Sr 3.74, 3 Ba 3.81
Sr  0.2515  0.2515  0.2515  9 Sr 4.24-4.29, 3 Ba 4.39

formation energy from the elements: 0.389 eV/f.u.

=====

Compound: PrTm2Se
Source: Alexandria
Functional: GGA-PBE
Structure: relaxed

Unit cell a=3.6724 b=3.6724 c=10.6639 alpha=80.09 beta=80.09 gamma=60.00
With the nearest neighbours (Å) after each atom.
Positions (direct):
Pr  0.0000  0.0000  0.0000  2 Tm 3.43, 6 Pr 3.67
Tm  0.1094  0.1094  0.6719  3 Se 2.78
Se  0.5000  0.5000  0.5000  6 Tm 2.78
Tm  0.8906  0.8906  0.3281  3 Se 2.78

ΔE_f (raw): -2.234 eV/f.u.

=====

Compound: PrInP2Rh5
Source: Alexandria
Functional: GGA-PBE
Structure: relaxed

Unit cell a=4.1041 b=4.1041 c=10.0485 alpha=90.00 beta=90.00 gamma=90.00
With the nearest neighbours (Å) after each atom.
Positions (direct):
Rh  0.5000  0.0000  0.1797  2 P 2.26
Pr  0.0000  0.0000  0.5000  4 Rh 2.90
P  0.5000  0.5000  0.7254  5 Rh 2.26
Rh  0.0000  0.5000  0.1797  2 P 2.26
In  0.0000  0.0000  0.0000  8 Rh 2.73
Rh  0.0000  0.5000  0.8203  2 P 2.26
P  0.5000  0.5000  0.2746  5 Rh 2.26
Rh  0.5000  0.0000  0.8203  2 P 2.26
Rh  0.5000  0.5000  0.5000  2 P 2.26

formation energy from the elements: -5.852 eV/f.u.

=====

Compound: PrNdCuSi
Source: Alexandria
Functional: GGA-PBE
Structure: relaxed

Unit cell a=4.2835 b=4.1988 c=5.8594 alpha=90.00 beta=111.44 gamma=90.00
With the nearest neighbours (Å) after each atom.
Positions (direct):
Pr  0.1405  0.0000  0.2810  3 Cu 3.07-3.26, 4 Si 3.11
Si  0.5638  0.5000  0.1276  2 Cu 2.50
Cu  0.4395  0.0000  0.8790  2 Si 2.50
Nd  0.8563  0.5000  0.7125  3 Si 3.12-3.19, 4 Cu 3.13

ΔE_f (raw): -1.769 eV/f.u.

=====

Compound: Ca2OsPb
Source: Alexandria
Functional: GGA-PBE
Structure: relaxed

Unit cell a=5.7599 b=5.7599 c=5.7599 alpha=50.05 beta=50.05 gamma=50.05
With the nearest neighbours (Å) after each atom.
Positions (direct):
Ca  0.2372  0.2372  0.2372  4 Ca 3.21-3.35, 4 Os 3.23-3.34, 3 Pb 3.32
Ca  0.0242  0.0242  0.0242  3 Os 3.15, 3 Pb 3.17, 4 Ca 3.21-3.35
Os  0.4513  0.4513  0.4513  3 Pb 2.81, 3 Ca 3.15
Pb  0.7873  0.7873  0.7873  3 Os 2.81

formation energy from the elements: 0.788 eV/f.u.

=====

Compound: Ac2Pr2CoHg2
Source: Alexandria
Functional: GGA-PBE
Structure: relaxed

Unit cell a=4.1400 b=7.4991 c=8.0928 alpha=69.26 beta=75.05 gamma=89.86
With the nearest neighbours (Å) after each atom.
Positions (direct):
Co  0.0000  0.0000  0.0000  4 Pr 2.78-2.80, 2 Ac 2.91
Ac  0.8022  0.8122  0.3988  1 Co 2.91
Pr  0.5188  0.7683  0.9610  2 Co 2.78-2.80
Pr  0.4812  0.2317  0.0390  2 Co 2.78-2.80
Hg  0.1240  0.5670  0.7539  4 Pr 3.31-3.39, 3 Ac 3.41-3.46, 1 Hg 3.60
Hg  0.8760  0.4330  0.2461  4 Pr 3.31-3.39, 3 Ac 3.41-3.46, 1 Hg 3.60
Ac  0.1978  0.1878  0.6012  1 Co 2.91

formation energy from the elements: -1.698 eV/f.u.

=====

Compound: Zn2TeRh
Source: Alexandria
Functional: GGA-PBE
Structure: relaxed

Unit cell a=4.8142 b=4.8142 c=4.6957 alpha=81.80 beta=81.80 gamma=42.24
With the nearest neighbours (Å) after each atom.
Positions (direct):
Rh  0.7500  0.7500  0.7500  6 Zn 2.69-2.74, 4 Te 2.92
Te  0.2500  0.2500  0.2500  2 Zn 2.73, 4 Rh 2.92
Zn  0.0188  0.0188  0.9344  2 Zn 2.51, 3 Rh 2.69-2.74, 1 Te 2.73
Zn  0.4812  0.4812  0.5656  2 Zn 2.51, 3 Rh 2.69-2.74, 1 Te 2.73

ΔE_f (raw): -0.150 eV/f.u.

=====

Compound: LaHoSiHg
Source: Alexandria
Functional: GGA-PBE
Structure: relaxed

Unit cell a=5.2389 b=5.2389 c=5.2389 alpha=60.00 beta=60.00 gamma=60.00
With the nearest neighbours (Å) after each atom.
Positions (direct):
La  0.0000  0.0000  0.0000  4 Si 3.21, 4 Hg 3.21
Hg  0.2500  0.2500  0.2500  4 La 3.21, 4 Ho 3.21
Ho  0.5000  0.5000  0.5000  4 Hg 3.21, 4 Si 3.21
Si  0.7500  0.7500  0.7500  4 Ho 3.21, 4 La 3.21

ΔE_f (raw): -1.872 eV/f.u.

=====

Compound: Zn3AgPt
Source: Alexandria
Functional: GGA-PBE
Structure: relaxed

Unit cell a=4.8111 b=4.8111 c=4.8111 alpha=90.00 beta=90.00 gamma=90.00
With the nearest neighbours (Å) after each atom.
Positions (direct):
Zn  0.0000  0.5000  0.0000  2 Pt 2.41
Pt  0.0000  0.0000  0.0000  6 Zn 2.41
Zn  0.5000  0.0000  0.0000  2 Pt 2.41
Ag  0.5000  0.5000  0.5000  12 Zn 3.40
Zn  0.0000  0.0000  0.5000  2 Pt 2.41

formation energy from the elements: 0.593 eV/f.u.

=====

Compound: VFe4Pd
Source: Alexandria
Functional: GGA-PBE
Structure: relaxed

Unit cell a=4.7115 b=4.7115 c=4.7115 alpha=60.00 beta=60.00 gamma=60.00
With the nearest neighbours (Å) after each atom.
Positions (direct):
Fe  0.1246  0.6251  0.6251  6 Fe 2.35-2.36
Pd  0.0000  0.0000  0.0000  12 Fe 2.76, 4 V 2.89
Fe  0.6251  0.1246  0.6251  6 Fe 2.35-2.36
Fe  0.6251  0.6251  0.1246  6 Fe 2.35-2.36
V  0.2500  0.2500  0.2500  12 Fe 2.76, 4 Pd 2.89
Fe  0.6251  0.6251  0.6251  6 Fe 2.35-2.36

formation energy from the elements: -0.292 eV/f.u.

=====

Compound: CdGe2Os
Source: Alexandria
Functional: GGA-PBE
Structure: relaxed

Unit cell a=6.1135 b=6.1135 c=6.9806 alpha=64.03 beta=64.03 gamma=90.00
With the nearest neighbours (Å) after each atom.
Positions (direct):
Ge  0.6823  0.1250  0.2500  2 Os 2.37
Os  0.7500  0.2500  0.5000  4 Ge 2.37
Cd  0.5000  0.5000  0.0000  4 Ge 2.78
Ge  0.3750  0.3177  0.7500  2 Os 2.37
Cd  0.2500  0.7500  0.5000  4 Ge 2.78
Os  0.0000  0.0000  0.0000  4 Ge 2.37
Ge  0.0677  0.6250  0.2500  2 Os 2.37
Ge  0.8750  0.9323  0.7500  2 Os 2.37

formation energy from the elements: 2.276 eV/f.u.

=====

| no. | calculated volume (A^3/atom) | ρ (g/cm³) |
| --- | --- | --- |
| 1 | 31.7 | 8.69 |
| 2 | 21.5 | 6.58 |
| 3 | 20.3 | 9.71 |
| 4 | 17.5 | 5.26 |
| 5 | 22.8 | 8.74 |
| 6 | 20.1 | 5.00 |
| 7 | 30.6 | 8.60 |
| 8 | 27.4 | 6.35 |
| 9 | 15.2 | 6.64 |
| 10 | 50.3 | 2.64 |
| 11 | 30.5 | 7.59 |
| 12 | 18.8 | 8.16 |
| 13 | 24.5 | 6.38 |
| 14 | 25.8 | 7.67 |
| 15 | 32.3 | 8.79 |
| 16 | 18.1 | 8.30 |
| 17 | 25.4 | 8.70 |
| 18 | 22.3 | 7.44 |
| 19 | 12.3 | 8.55 |
| 20 | 25.6 | 7.26 |